Below is crystalline MgIn2Ge2 at its relaxed geometry, with properties calculated at the PBE level.

Cell: 8.8750 8.8750 8.8750 Å, 155.37 155.37 35.12°
Element x y z (fractional)
Mg 0.0000 0.0000 0.0000
In 0.3955 0.3955 0.0000
In 0.6045 0.6045 0.0000
Ge 0.2500 0.7500 0.5000
Ge 0.7500 0.2500 0.5000

Calculated values
Fermi-level density of states   0.51 states/eV per atom
Space group   I4/mmm (139)
Calculated formation energy   135 meV/atom

=====

Below is crystalline Mg3InGe at its relaxed geometry, with properties calculated at the PBE level.

Cell: 5.2561 5.2561 5.2561 Å, 90.00 90.00 90.00°
Element x y z (fractional)
Mg 0.0000 0.0000 0.5000
Mg 0.0000 0.5000 0.0000
Mg 0.5000 0.0000 0.0000
In 0.0000 0.0000 0.0000
Ge 0.5000 0.5000 0.5000

Calculated values
Energy above the most stable polymorph in this dataset   0.424 eV per atom
Fermi-level density of states   0.83 states/eV per atom
Space group   Pm-3m (221)
Calculated formation energy   519 meV/atom

=====

Below is crystalline Mg2In2Ge at its relaxed geometry, with properties calculated at the PBE level.

Cell: 7.1683 7.1683 4.6646 Å, 90.00 90.00 90.00°
Element x y z (fractional)
Mg 0.1497 0.3503 0.0000
Mg 0.3503 0.8503 0.0000
Mg 0.6497 0.1497 0.0000
Mg 0.8503 0.6497 0.0000
In 0.1585 0.6585 0.5000
In 0.3415 0.1585 0.5000
In 0.6585 0.8415 0.5000
In 0.8415 0.3415 0.5000
Ge 0.0000 0.0000 0.0000
Ge 0.5000 0.5000 0.0000

Calculated values
Energy above the most stable polymorph in this dataset   0.000 eV per atom
Fermi-level density of states   0.39 states/eV per atom
Space group   P4/mbm (127)
Calculated formation energy   47 meV/atom

=====

Below is crystalline Mg3InGe at its relaxed geometry, with properties calculated at the PBE level.

Cell: 5.0909 5.0909 5.0909 Å, 90.00 90.00 90.00°
Element x y z (fractional)
Mg 0.0000 0.0000 0.5000
Mg 0.0000 0.5000 0.0000
Mg 0.5000 0.0000 0.0000
In 0.5000 0.5000 0.5000
Ge 0.0000 0.0000 0.0000

Calculated values
Energy above the most stable polymorph in this dataset   0.000 eV per atom
Fermi-level density of states   0.45 states/eV per atom
Space group   Pm-3m (221)
Calculated formation energy   95 meV/atom

=====

Below is crystalline NaMgInGe2 at its relaxed geometry, with properties calculated at the PBE level.

Cell: 5.0739 5.0739 5.4835 Å, 90.00 90.00 90.00°
Element x y z (fractional)
Na 0.0000 0.0000 0.0000
Mg 0.0000 0.0000 0.5000
In 0.5000 0.5000 0.0000
Ge 0.0000 0.5000 0.5000
Ge 0.5000 0.0000 0.5000

Calculated values
Energy above the most stable polymorph in this dataset   0.070 eV per atom
Fermi-level density of states   0.59 states/eV per atom
Space group   P4/mmm (123)
Calculated formation energy   488 meV/atom

=====

Below is crystalline NaMgInGe2 at its relaxed geometry, with properties calculated at the PBE level.

Cell: 5.1218 5.1218 5.5053 Å, 90.00 90.00 90.00°
Element x y z (fractional)
Na 0.0000 0.0000 0.0000
Mg 0.5000 0.5000 0.5000
In 0.5000 0.5000 0.0000
Ge 0.0000 0.5000 0.5000
Ge 0.5000 0.0000 0.5000

Calculated values
Energy above the most stable polymorph in this dataset   0.000 eV per atom
Fermi-level density of states   0.66 states/eV per atom
Space group   P4/mmm (123)
Calculated formation energy   418 meV/atom

=====

Below is crystalline NaMgInGe at its relaxed geometry, with properties calculated at the PBE level.

Cell: 5.0321 5.0321 5.0321 Å, 60.00 60.00 60.00°
Element x y z (fractional)
Na 0.0000 0.0000 0.0000
Mg 0.5000 0.5000 0.5000
In 0.2500 0.2500 0.2500
Ge 0.7500 0.7500 0.7500

Calculated values
Fermi-level density of states   0.24 states/eV per atom
Space group   F-43m (216)
Calculated formation energy   -55 meV/atom

=====

Below is crystalline NdMg2InGe at its relaxed geometry, with properties calculated at the PBE level.

Cell: 8.3677 8.3677 7.9544 Å, 90.00 90.00 151.65°
Element x y z (fractional)
Nd 0.1058 0.8942 0.7500
Nd 0.8942 0.1058 0.2500
Mg 0.3207 0.6793 0.5647
Mg 0.3207 0.6793 0.9353
Mg 0.6793 0.3207 0.0647
Mg 0.6793 0.3207 0.4353
In 0.5000 0.5000 0.0000
In 0.5000 0.5000 0.5000
Ge 0.2479 0.7521 0.2500
Ge 0.7521 0.2479 0.7500

Calculated values
Fermi-level density of states   0.58 states/eV per atom
Space group   Cmcm (63)
Calculated formation energy   -249 meV/atom